CaPaTcRh: relaxed, PBE-GGA.

Cell and atoms, written as POSCAR:
```
CaPaTcRh
1.0
4.8259 0.0000 0.0000
2.4129 4.1793 0.0000
2.4129 1.3931 3.9403
Ca Rh Pa Tc
1 1 1 1
Cartesian
7.2388 4.1793 2.9552
0.0000 0.0000 0.0000
2.4129 1.3931 0.9851
4.8259 2.7862 1.9702
```

Summary:
volume: 79.5 Å³/cell
density: 9.86 g/cm³
formation enthalpy at 0 K: -0.180 eV/atom
DFT total energy: -7.48 eV/atom

---

SrTeRu2: relaxed, PBE-GGA.

Cell and atoms, written as POSCAR:
```
SrTeRu2
1.0
-0.7806 3.6866 1.2633
-3.8381 -0.8902 0.2261
-0.8843 -2.2607 6.0509
Te Ru Sr
1 2 1
Cartesian
-4.1772 -0.7145 5.7559
-1.4957 1.3066 1.5147
-3.8543 -1.0059 0.5539
-2.1752 -1.5162 3.0806
```

Summary:
volume: 98.7 Å³/cell
density: 7.03 g/cm³
DFT total energy: -5.73 eV/atom
uncorrected formation energy: 0.11 eV per atom

---

Y3Zn7Au4: relaxed, PBE-GGA.

Cell and atoms, written as POSCAR:
```
Y3Zn7Au4
1.0
-1.2134 3.9145 1.6951
-0.6800 -1.2180 8.1276
6.6482 2.7105 4.3014
Zn Y Au
7 3 4
Cartesian
4.7524 3.9715 5.8340
2.2785 3.6934 4.7052
2.4763 1.7135 9.4189
4.8780 5.4579 8.2930
0.0024 1.4354 8.2902
-0.1232 -0.0510 5.8312
0.0000 0.0000 0.0000
3.8629 3.9390 11.0738
0.8919 1.4679 3.0504
2.9841 0.7462 6.2145
0.6091 3.2423 10.3536
4.4712 2.8512 8.2198
4.1457 2.1646 3.7705
0.2835 2.5557 5.9044
```

Summary:
volume: 266.7 Å³/cell
density: 9.42 g/cm³
formation enthalpy at 0 K: -0.521 eV/atom
DFT total energy: -3.48 eV/atom

---

Cs2BiO3: relaxed, PBE-GGA.

Cell and atoms, written as POSCAR:
```
Cs2BiO3
1.0
-1.5945 -5.5147 -3.1205
4.0992 1.8791 -5.4154
3.4439 -3.7519 4.8708
O Cs Bi
6 4 2
Cartesian
3.0787 -1.5526 -5.7421
4.1477 1.1373 -4.2015
3.5735 -5.7700 -2.9310
2.1324 -2.4569 -1.2091
3.6503 -3.1358 3.6043
2.5813 -5.8257 2.0637
1.4386 -5.6202 -0.7961
4.3584 -3.3898 0.6109
4.5723 -1.5516 -2.7469
1.6526 -3.7820 -4.1539
5.6525 -5.9565 -2.9006
0.2312 -1.6552 -0.8914
```

Summary:
volume: 298.9 Å³/cell
density: 5.81 g/cm³
DFT total energy: -4.65 eV/atom
uncorrected formation energy: -1.24 eV per atom

---

TbCeBiTe: relaxed, PBE-GGA.

Cell and atoms, written as POSCAR:
```
TbCeBiTe
1.0
5.4788 0.0000 0.0000
2.7394 4.7448 0.0000
2.7394 1.5816 4.4734
Ce Bi Te Tb
1 1 1 1
Cartesian
2.7394 1.5816 1.1184
5.4788 3.1632 2.2367
0.0000 0.0000 0.0000
8.2182 4.7448 3.3551
```

Summary:
volume: 116.3 Å³/cell
density: 9.08 g/cm³
DFT total energy: -5.32 eV/atom
uncorrected formation energy: -0.92 eV per atom
ΔE to the lowest computed polymorph: 0.186 eV/atom

---

TiHgI2: relaxed, PBE-GGA.

Cell and atoms, written as POSCAR:
```
TiHgI2
1.0
0.0000 3.8602 3.8602
3.8602 0.0000 3.8602
3.8602 3.8602 0.0000
I Ti Hg
2 1 1
Cartesian
1.9301 1.9301 1.9301
5.7903 5.7903 5.7903
0.0000 0.0000 0.0000
3.8602 3.8602 3.8602
```

Summary:
volume: 115.0 Å³/cell
density: 7.25 g/cm³
DFT total energy: -2.78 eV/atom
uncorrected formation energy: 0.05 eV per atom
ΔE to the lowest computed polymorph: 0.507 eV/atom

---

HfMg3Tl: relaxed, PBE-GGA.

Cell and atoms, written as POSCAR:
```
HfMg3Tl
1.0
-2.9973 2.6716 4.0482
-2.3729 -4.9581 1.5152
4.2302 -0.8883 3.7183
Mg Hf Tl
3 1 1
Cartesian
-1.4986 1.3358 2.0241
2.1151 -0.4441 1.8591
-1.1865 -2.4790 0.7576
0.0000 0.0000 0.0000
-0.5700 -1.5874 4.6408
```

Summary:
volume: 185.4 Å³/cell
density: 4.08 g/cm³
formation enthalpy at 0 K: 1.054 eV/atom
DFT total energy: -2.37 eV/atom
ΔE to the lowest computed polymorph: 0.225 eV/atom

---

ThU2Tc: relaxed, PBE-GGA.

Cell and atoms, written as POSCAR:
```
ThU2Tc
1.0
-2.5991 3.4760 -1.8393
-4.1669 -0.9673 -1.9803
-4.3598 1.4478 2.8564
Th Tc U
1 1 2
Cartesian
0.0000 0.0000 0.0000
-5.5629 1.9783 -0.4816
-2.8855 1.0194 -0.0366
-8.2403 2.9371 -0.9266
```

Summary:
volume: 90.0 Å³/cell
density: 14.88 g/cm³
formation enthalpy at 0 K: 0.405 eV/atom
DFT total energy: -9.69 eV/atom

---

AcLa3Si4: relaxed, PBE-GGA.

Cell and atoms, written as POSCAR:
```
AcLa3Si4
1.0
-0.6119 -4.0894 -0.5900
6.2447 -1.2253 2.0163
-5.5091 1.9217 7.1785
La Si Ac
3 4 1
Cartesian
1.1784 -3.1054 5.5172
-1.0547 -0.2876 3.0876
3.1223 -0.6127 1.0081
1.0064 -2.6389 2.4624
-0.8827 -0.7541 6.1424
3.1910 -3.0673 3.1663
-3.0673 -0.3257 5.4385
-0.3060 -2.0447 -0.2950
```

Summary:
volume: 233.4 Å³/cell
density: 5.38 g/cm³
DFT total energy: -5.56 eV/atom
uncorrected formation energy: -0.49 eV per atom

---

AgC2Cl: relaxed, PBE-GGA.

Cell and atoms, written as POSCAR:
```
AgC2Cl
1.0
-3.6169 -3.1682 1.4497
2.0803 -3.6400 -2.7648
2.1047 -4.8336 3.3863
Ag C Cl
2 4 2
Cartesian
0.0000 0.0000 0.0000
-1.1402 -5.7030 2.0892
1.4669 -3.7983 -0.7373
0.9491 -6.0851 2.1173
-1.5669 -3.7247 1.4441
0.2873 -9.6756 1.3182
-0.7683 -3.4041 -0.6575
1.7084 -5.9389 -0.0180
```

Summary:
volume: 130.2 Å³/cell
density: 4.27 g/cm³
DFT total energy: -3.32 eV/atom
uncorrected formation energy: 2.47 eV per atom
ΔE to the lowest computed polymorph: 0.000 eV/atom

---

DyHo2UO8: relaxed, PBE-GGA.

Cell and atoms, written as POSCAR:
```
DyHo2UO8
1.0
3.8526 -0.0253 -0.0024
0.0350 5.3041 -0.0060
0.0048 0.0084 7.5199
O Ho Dy U
8 2 1 1
Cartesian
1.9530 4.0543 -0.0058
3.8801 3.9951 1.7155
3.8827 4.0001 5.7905
1.9548 3.9591 3.7543
0.0097 1.2870 1.7210
1.9395 1.2329 7.5173
0.0123 1.2920 5.7960
1.9376 1.3281 3.7572
1.9450 2.6415 1.8804
1.9474 2.6457 5.6311
0.0024 0.0042 3.7600
0.0000 0.0000 0.0000
```

Summary:
volume: 153.7 Å³/cell
density: 9.28 g/cm³
DFT total energy: -8.69 eV/atom
uncorrected formation energy: -3.29 eV per atom

---

RbOs3Pb: relaxed, PBE-GGA.

Cell and atoms, written as POSCAR:
```
RbOs3Pb
1.0
5.1717 0.0000 0.0000
0.0000 5.1717 0.0000
0.0000 0.0000 5.1717
Os Rb Pb
3 1 1
Cartesian
0.0000 2.5859 0.0000
0.0000 0.0000 2.5859
2.5859 0.0000 0.0000
2.5859 2.5859 2.5859
0.0000 0.0000 0.0000
```

Summary:
volume: 138.3 Å³/cell
density: 10.36 g/cm³
formation enthalpy at 0 K: 2.815 eV/atom
DFT total energy: -4.86 eV/atom
ΔE to the lowest computed polymorph: 0.000 eV/atom

---

SrPb2Au2: relaxed, PBE-GGA.

Cell and atoms, written as POSCAR:
```
SrPb2Au2
1.0
-3.2987 -1.1470 -7.1911
5.8441 -5.1268 -1.8631
-2.3428 -3.2495 1.5930
Au Pb Sr
4 4 2
Cartesian
-1.3299 -1.3610 -4.7320
1.7745 -2.0639 -1.6003
0.7709 -4.2099 -7.4539
3.8752 -4.9128 -4.3222
-2.0053 -4.2082 -5.6998
-1.1785 -2.9131 -1.8420
2.2079 -5.3151 -1.7614
1.3811 -6.6102 -5.6192
1.2727 -3.1369 -4.5271
0.0000 0.0000 0.0000
```

Summary:
volume: 275.5 Å³/cell
density: 10.80 g/cm³
formation enthalpy at 0 K: -0.312 eV/atom
DFT total energy: -3.44 eV/atom

---

As2BrCl: relaxed, PBE-GGA.

Cell and atoms, written as POSCAR:
```
As2BrCl
1.0
-1.9629 -2.7083 0.0929
1.7061 0.9905 2.7027
-7.0219 5.1764 2.5357
Cl As Br
1 2 1
Cartesian
-5.3948 3.0234 3.2996
-6.9854 5.1494 2.5225
-3.5475 2.6151 1.2810
-1.8839 0.4352 2.0317
```

Summary:
volume: 87.1 Å³/cell
density: 5.06 g/cm³
DFT total energy: -2.85 eV/atom
uncorrected formation energy: 0.35 eV per atom
ΔE to the lowest computed polymorph: 0.673 eV/atom

---

CoRe2Te: relaxed, PBE-GGA.

Cell and atoms, written as POSCAR:
```
CoRe2Te
1.0
5.0956 -0.0011 0.0004
2.1815 4.6050 -0.0004
-3.1660 -3.0490 2.5779
Co Re Te
1 2 1
Cartesian
1.4567 2.0110 1.2888
2.6990 -0.4279 1.2892
0.0602 0.0381 0.0000
3.5339 2.2358 0.0000
```

Summary:
volume: 60.5 Å³/cell
density: 15.34 g/cm³
DFT total energy: -8.13 eV/atom
uncorrected formation energy: 0.65 eV per atom

---

MgCr2Pb: relaxed, PBE-GGA.

Cell and atoms, written as POSCAR:
```
MgCr2Pb
1.0
7.7470 0.0000 0.0000
0.0000 7.7470 0.0000
3.8735 3.8735 3.0171
Cr Pb Mg
4 2 2
Cartesian
1.9247 5.8103 0.7543
9.6838 9.6958 2.2628
5.8223 1.9368 0.7543
5.8103 5.7982 2.2628
0.0000 0.0000 0.0000
7.7470 3.8735 1.5085
3.8735 3.8735 0.0000
3.8735 7.7470 1.5085
```

Summary:
volume: 181.1 Å³/cell
density: 6.15 g/cm³
formation enthalpy at 0 K: 0.875 eV/atom
DFT total energy: -5.26 eV/atom

---

YAlRh2: relaxed, PBE-GGA.

Cell and atoms, written as POSCAR:
```
YAlRh2
1.0
-0.7023 -2.3493 -2.3729
-2.6421 -2.1204 2.8813
-3.4584 2.4304 -1.3826
Rh Al Y
2 1 1
Cartesian
-1.3210 -1.0602 1.4407
-1.7292 1.2152 -0.6913
-0.3512 -1.1747 -1.1864
-3.4014 -1.0197 -0.4371
```

Summary:
volume: 67.5 Å³/cell
density: 7.92 g/cm³
formation enthalpy at 0 K: -0.866 eV/atom
DFT total energy: -7.09 eV/atom

---

TiZnIr: relaxed, PBE-GGA.

Cell and atoms, written as POSCAR:
```
TiZnIr
1.0
2.7879 0.0000 0.0000
0.0000 4.3066 0.0000
0.0000 -2.1533 3.7296
Zn Ti Ir
1 1 1
Cartesian
1.0702 2.1533 1.2432
2.7017 0.0000 0.0000
1.8040 0.0000 2.4864
```

Summary:
volume: 44.8 Å³/cell
density: 11.33 g/cm³
formation enthalpy at 0 K: -0.477 eV/atom
DFT total energy: -6.49 eV/atom

---

Ta4CdFe: relaxed, PBE-GGA.

Cell and atoms, written as POSCAR:
```
Ta4CdFe
1.0
1.4406 0.2526 5.2442
0.3466 4.8248 2.4985
-3.6766 1.3839 3.7694
Ta Fe Cd
4 1 1
Cartesian
-0.5339 4.8406 5.5657
0.0149 2.5471 6.9430
-2.5520 3.1146 6.2032
-0.7077 2.4204 4.3123
0.0000 0.0000 0.0000
-1.4170 4.8460 8.6341
```

Summary:
volume: 114.1 Å³/cell
density: 12.98 g/cm³
formation enthalpy at 0 K: 0.614 eV/atom
DFT total energy: -8.85 eV/atom

---

LiCd2Rh: relaxed, PBE-GGA.

Cell and atoms, written as POSCAR:
```
LiCd2Rh
1.0
3.0241 0.0000 0.0000
0.0000 4.0237 0.0000
0.0000 0.0000 5.7330
Rh Cd Li
1 2 1
Cartesian
1.5120 2.0119 4.2876
1.5120 2.0119 1.5364
0.0000 0.0000 5.5438
0.0000 0.0000 2.9647
```

Summary:
volume: 69.8 Å³/cell
density: 7.97 g/cm³
formation enthalpy at 0 K: -0.135 eV/atom
DFT total energy: -2.91 eV/atom
ΔE to the lowest computed polymorph: 0.138 eV/atom